Entry 1:
Material: Mn2CdIr
Method: DFT, GGA-PBE
State: relaxed

The calculation puts the total energy at -54.82 eV per cell. The total magnetization is 6.975 μB/f.u.

The space group is Cm (No. 8) and the conventional cell measures 9.3367, 2.9004 and 4.7022 Å, with angles of 90.00, 102.74 and 90.00 degrees. The inequivalent atoms are Mn at (0.0000, 0.0000, 0.0000), Mn at (0.2471, 0.0000, 0.7307), Cd at (0.2576, 0.5000, 0.2389) and Ir at (0.0126, 0.5000, 0.5325).

Entry 2:
Material: SrLa2Mg9
Method: DFT, GGA-PBE
State: relaxed

The calculation puts the total energy at -80.65 eV per cell. The total magnetization is 0.000 μB/f.u.

The space group is R-3m (No. 166, hexagonal axes) and the conventional cell measures 6.2079, 6.2079 and 30.4436 Å, with angles of 90.00, 90.00 and 120.00 degrees. The inequivalent atoms are Sr at (0.0000, 0.0000, 0.0000), La at (0.0000, 0.0000, 0.1476), Mg at (0.0000, 0.0000, 0.3345), Mg at (0.0000, 0.0000, 0.5000) and Mg at (0.0027, 0.5013, 0.9159).

Entry 3:
Material: HoEr2Pu
Method: DFT, GGA-PBE
State: relaxed

The value obtained for the relative energy among the computed polymorphs is 0.0381 eV/atom. The total magnetization is 6.516 μB/f.u.

The space group is Pm (No. 6) and the conventional cell measures 3.3904, 5.4842 and 6.6173 Å, with angles of 90.00, 104.53 and 90.00 degrees. The inequivalent atoms are Ho at (0.0000, 0.0000, 0.0000), Er at (0.3454, 0.5000, 0.7016), Er at (0.7324, 0.0000, 0.4763) and Pu at (0.6107, 0.5000, 0.2212).

Repeat the third record exactly.
Material: HoEr2Pu
Method: DFT, GGA-PBE
State: relaxed

The value obtained for the relative energy among the computed polymorphs is 0.0381 eV/atom. The total magnetization is 6.516 μB/f.u.

The space group is Pm (No. 6) and the conventional cell measures 3.3904, 5.4842 and 6.6173 Å, with angles of 90.00, 104.53 and 90.00 degrees. The inequivalent atoms are Ho at (0.0000, 0.0000, 0.0000), Er at (0.3454, 0.5000, 0.7016), Er at (0.7324, 0.0000, 0.4763) and Pu at (0.6107, 0.5000, 0.2212).